The following is a PBE calculation of a geometry-optimized CsSnSbTe2 structure, from Alexandria.

The structure belongs to space group P4/mmm (No. 123); the cell edges are 6.2782, 6.2782 and 6.1710 Å and the angles 90.00°, 90.00° and 90.00°. The inequivalent atoms are Cs at (0.0000, 0.0000, 0.0000), Sn at (0.5000, 0.5000, 0.5000), Sb at (0.0000, 0.0000, 0.5000) and Te at (0.0000, 0.5000, 0.0000).

The calculation puts the polymorph energy (0 for the lowest one) at 1181 meV per atom. The value obtained for the total magnetization is 0.2 Bohr magnetons per cell. For the energy relative to the elements, uncorrected, the calculation gives 1.13 eV per atom.